## Li2HoCd (PBE-GGA)

Data for a relaxed structure of Li2HoCd.

Cell lengths 3.2901, 3.2901, 29.9642 Å; angles 90.00, 90.00, 120.00 degrees
Space group R3m (No. 160, hexagonal axes)
Symmetry-distinct sites (fractional):
Li 0.0000 0.0000 0.0000 [3 per cell]
Li 0.0000 0.0000 0.1840 [3 per cell]
Ho 0.0000 0.0000 0.7590 [3 per cell]
Cd 0.0000 0.0000 0.5920 [3 per cell]

## Properties
DFT formation energy   0.027 eV per atom
Calculated volume   23.41 A^3/atom
E   -2.303 eV per atom
Mass density   5.2 g cm⁻³
Energy above the lowest structure with this stoichiometry   0.095 eV per atom

=====

## LiHo5Cd6 (PBE-GGA)

Data for a relaxed structure of LiHo5Cd6.

Cell lengths 5.186, 7.411, 15.534 Å; angles 90.00, 90.00, 90.00 degrees
Space group Immm (No. 71)
Symmetry-distinct sites (fractional):
Li 0.000 0.000 0.000 [2 per cell]
Ho 0.000 0.000 0.335 [4 per cell]
Ho 0.000 0.500 0.000 [2 per cell]
Ho 0.000 0.500 0.328 [4 per cell]
Cd 0.000 0.233 0.158 [8 per cell]
Cd 0.000 0.271 0.500 [4 per cell]

## Properties
DFT formation energy   -0.298 eV per atom
Calculated volume   24.87 A^3/atom
E   -2.822 eV per atom
Mass density   8.4 g cm⁻³

=====

## Li2Ho3Cd4 (PBE-GGA)

Data for a relaxed structure of Li2Ho3Cd4.

Cell lengths 10.792, 4.977, 9.257 Å; angles 90.00, 122.35, 90.00 degrees
Space group C2/m (No. 12)
Symmetry-distinct sites (fractional):
Li 0.114 0.000 0.282 [4 per cell]
Ho 0.000 0.500 0.000 [2 per cell]
Ho 0.166 0.000 0.668 [4 per cell]
Cd 0.063 0.500 0.390 [4 per cell]
Cd 0.217 0.000 0.059 [4 per cell]

## Properties
DFT formation energy   -0.217 eV per atom
Calculated volume   23.33 A^3/atom
E   -2.575 eV per atom
Mass density   7.6 g cm⁻³
Energy above the lowest structure with this stoichiometry   0.017 eV per atom

=====

## Li2HoCd3 (PBE-GGA)

Data for a relaxed structure of Li2HoCd3.

Cell lengths 3.433, 3.433, 10.625 Å; angles 90.00, 90.00, 90.00 degrees
Space group P4/mmm (No. 123)
Symmetry-distinct sites (fractional):
Li 0.000 0.000 0.153 [2 per cell]
Ho 0.000 0.000 0.500 [1 per cell]
Cd 0.500 0.500 0.000 [1 per cell]
Cd 0.500 0.500 0.298 [2 per cell]

## Properties
DFT formation energy   -0.266 eV per atom
Calculated volume   20.86 A^3/atom
E   -2.125 eV per atom
Mass density   6.8 g cm⁻³
Energy above the lowest structure with this stoichiometry   0.000 eV per atom

=====

## LiHo3Cd4 (PBE-GGA)

Data for a relaxed structure of LiHo3Cd4.

Cell lengths 3.646, 3.646, 14.670 Å; angles 90.00, 90.00, 90.00 degrees
Space group P4/mmm (No. 123)
Symmetry-distinct sites (fractional):
Li 0.000 0.000 0.000 [1 per cell]
Ho 0.000 0.000 0.241 [2 per cell]
Ho 0.000 0.000 0.500 [1 per cell]
Cd 0.500 0.500 0.108 [2 per cell]
Cd 0.500 0.500 0.371 [2 per cell]

## Properties
DFT formation energy   -0.287 eV per atom
Calculated volume   24.38 A^3/atom
E   -2.701 eV per atom
Mass density   8.1 g cm⁻³

=====

## LiHo4Cd3 (PBE-GGA)

Data for a relaxed structure of LiHo4Cd3.

Cell lengths 5.268, 5.268, 14.798 Å; angles 90.00, 90.00, 90.00 degrees
Space group I4/mmm (No. 139)
Symmetry-distinct sites (fractional):
Li 0.000 0.000 0.000 [2 per cell]
Ho 0.000 0.500 0.124 [8 per cell]
Cd 0.000 0.000 0.248 [4 per cell]
Cd 0.000 0.000 0.500 [2 per cell]

## Properties
DFT formation energy   -0.222 eV per atom
Calculated volume   25.67 A^3/atom
E   -3.093 eV per atom
Mass density   8.1 g cm⁻³

=====

## Li5HoCd6 (PBE-GGA)

Data for a relaxed structure of Li5HoCd6.

Cell lengths 4.843, 6.911, 7.610 Å; angles 90.00, 108.45, 90.00 degrees
Space group P2/m (No. 10)
Symmetry-distinct sites (fractional):
Li 0.000 0.000 0.000 [1 per cell]
Li 0.330 0.500 0.664 [2 per cell]
Li 0.338 0.000 0.680 [2 per cell]
Ho 0.000 0.500 0.000 [1 per cell]
Cd 0.176 0.232 0.348 [4 per cell]
Cd 0.500 0.226 0.000 [2 per cell]

## Properties
DFT formation energy   -0.239 eV per atom
Calculated volume   20.13 A^3/atom
E   -1.876 eV per atom
Mass density   6.0 g cm⁻³

=====

## Li2HoCd2 (PBE-GGA)

Data for a relaxed structure of Li2HoCd2.

Cell lengths 8.120, 8.120, 3.162 Å; angles 90.00, 90.00, 90.00 degrees
Space group P4/mbm (No. 127)
Symmetry-distinct sites (fractional):
Li 0.117 0.383 0.000 [4 per cell]
Ho 0.000 0.000 0.000 [2 per cell]
Cd 0.182 0.682 0.500 [4 per cell]

## Properties
DFT formation energy   -0.194 eV per atom
Calculated volume   20.85 A^3/atom
E   -2.241 eV per atom
Mass density   6.4 g cm⁻³
Energy above the lowest structure with this stoichiometry   0.035 eV per atom

=====

## Li4HoCd4 (PBE-GGA)

Data for a relaxed structure of Li4HoCd4.

Cell lengths 6.167, 6.167, 9.883 Å; angles 90.00, 90.00, 90.00 degrees
Space group P4_2/nmc (No. 137, origin choice 2)
Symmetry-distinct sites (fractional):
Li 0.033 0.250 0.178 [8 per cell]
Ho 0.250 0.750 0.250 [2 per cell]
Cd 0.016 0.250 0.464 [8 per cell]

## Properties
DFT formation energy   -0.096 eV per atom
Calculated volume   20.88 A^3/atom
E   -1.862 eV per atom
Mass density   5.7 g cm⁻³

=====

## Li2HoCd2 (PBE-GGA)

Data for a relaxed structure of Li2HoCd2.

Cell lengths 18.123, 3.469, 3.468 Å; angles 90.00, 100.85, 90.00 degrees
Space group C2/m (No. 12)
Symmetry-distinct sites (fractional):
Li 0.204 0.000 0.202 [4 per cell]
Ho 0.000 0.000 0.000 [2 per cell]
Cd 0.119 0.500 0.617 [4 per cell]

## Properties
DFT formation energy   -0.229 eV per atom
Calculated volume   21.41 A^3/atom
E   -2.276 eV per atom
Mass density   6.3 g cm⁻³
Energy above the lowest structure with this stoichiometry   0.000 eV per atom

=====

## Li2HoCd (PBE-GGA)

Data for a relaxed structure of Li2HoCd.

Cell lengths 6.886, 6.886, 6.886 Å; angles 90.00, 90.00, 90.00 degrees
Space group Fm-3m (No. 225)
Symmetry-distinct sites (fractional):
Li 0.250 0.250 0.250 [8 per cell]
Ho 0.000 0.000 0.000 [4 per cell]
Cd 0.000 0.000 0.500 [4 per cell]

## Properties
DFT formation energy   -0.067 eV per atom
Calculated volume   20.41 A^3/atom
E   -2.397 eV per atom
Mass density   5.9 g cm⁻³
Energy above the lowest structure with this stoichiometry   0.000 eV per atom

=====

## Li2Ho3Cd6 (PBE-GGA)

Data for a relaxed structure of Li2Ho3Cd6.

Cell lengths 4.400, 4.400, 26.715 Å; angles 90.00, 90.00, 90.00 degrees
Space group I4/mmm (No. 139)
Symmetry-distinct sites (fractional):
Li 0.000 0.000 0.045 [4 per cell]
Ho 0.000 0.000 0.296 [4 per cell]
Ho 0.000 0.000 0.500 [2 per cell]
Cd 0.000 0.000 0.179 [4 per cell]
Cd 0.000 0.500 0.101 [8 per cell]

## Properties
DFT formation energy   -0.152 eV per atom
Calculated volume   23.51 A^3/atom
E   -2.248 eV per atom
Mass density   7.6 g cm⁻³